(1)
First-principles (PBE) data for crystalline CsKThTe3 at its relaxed geometry, as listed in OQMD via LeMat-Bulk.

The structure in POSCAR format:
```
CsKThTe3
1.0
2.342 -9.961 0.000
2.342 9.961 0.000
0.000 0.000 13.190
Cs Te Th K
2 6 2 2
Direct
0.165 0.835 0.750
0.835 0.165 0.250
0.484 0.516 0.250
0.516 0.484 0.750
0.894 0.106 0.994
0.894 0.106 0.506
0.106 0.894 0.494
0.106 0.894 0.006
0.500 0.500 0.500
0.500 0.500 0.000
0.892 0.108 0.750
0.108 0.892 0.250
```

Summary:
E_tot	-4.2183	eV per atom
volume	51.29	Å³ per atom
space group	Cmcm (63)
crystal system	orthorhombic

=====

(2)
First-principles (PBE) data for crystalline PmZrO3 at its relaxed geometry, as listed in OQMD via LeMat-Bulk.

The structure in POSCAR format:
```
PmZrO3
1.0
5.618 0.000 0.000
0.000 6.138 0.000
0.000 0.000 7.777
Zr O Pm
4 12 4
Direct
0.500 0.000 0.000
0.500 0.000 0.500
0.000 0.500 0.000
0.000 0.500 0.500
0.150 0.431 0.250
0.685 0.305 0.445
0.185 0.195 0.555
0.815 0.805 0.445
0.850 0.569 0.750
0.350 0.931 0.250
0.315 0.695 0.945
0.815 0.805 0.055
0.185 0.195 0.945
0.315 0.695 0.555
0.685 0.305 0.055
0.650 0.069 0.750
0.474 0.425 0.750
0.526 0.575 0.250
0.974 0.075 0.250
0.026 0.925 0.750
```

Summary:
E_tot	-8.7203	eV per atom
volume	13.41	Å³ per atom
space group	Pnma (62)
crystal system	orthorhombic

=====

(3)
First-principles (PBE) data for crystalline SmSn at its relaxed geometry, as listed in OQMD via LeMat-Bulk.

The structure in POSCAR format:
```
SmSn
1.0
0.000 3.155 3.155
3.155 0.000 3.155
3.155 3.155 0.000
Sm Sn
1 1
Direct
0.000 0.000 0.000
0.500 0.500 0.500
```

Summary:
E_tot	-4.9052	eV per atom
volume	31.41	Å³ per atom
space group	Fm-3m (225)
crystal system	cubic

=====

(4)
First-principles (PBE) data for crystalline Li2Zr2GaSnIr2 at its relaxed geometry, as listed in OQMD via LeMat-Bulk.

The structure in POSCAR format:
```
Li2Zr2GaSnIr2
1.0
-2.167 3.504 -1.858
-3.808 -1.248 2.089
1.574 3.652 5.053
Zr Ga Sn Ir Li
2 1 1 2 2
Direct
0.500 0.500 0.000
0.000 0.000 0.500
0.000 0.000 0.000
0.500 0.500 0.500
0.000 0.500 0.243
0.500 0.000 0.757
0.000 0.500 0.765
0.500 0.000 0.235
```

Summary:
E_tot	-6.4039	eV per atom
volume	16.42	Å³ per atom
space group	P-4m2 (115)
crystal system	tetragonal

=====

(5)
First-principles (PBE) data for crystalline TaTc2Ir at its relaxed geometry, as listed in OQMD via LeMat-Bulk.

The structure in POSCAR format:
```
TaTc2Ir
1.0
-1.990 -3.637 -1.618
-4.396 -0.008 -0.696
-1.595 -0.002 -4.155
Tc Ta Ir
2 1 1
Direct
0.000 0.000 0.000
0.750 0.750 0.750
0.500 0.500 0.500
0.250 0.250 0.250
```

Summary:
E_tot	-10.3380	eV per atom
volume	15.58	Å³ per atom
space group	F-43m (216)
crystal system	cubic

=====

(6)
First-principles (PBE) data for crystalline NdTm2Tl2Cd4 at its relaxed geometry, as listed in OQMD via LeMat-Bulk.

The structure in POSCAR format:
```
NdTm2Tl2Cd4
1.0
4.592 0.000 0.000
0.000 6.606 3.746
0.000 -6.606 3.746
Nd Cd Tl Tm
1 4 2 2
Direct
0.000 0.428 0.428
0.500 0.759 0.759
0.500 0.001 0.239
0.500 0.239 0.001
0.000 0.991 0.991
0.500 0.332 0.673
0.500 0.673 0.332
0.000 0.003 0.575
0.000 0.575 0.003
```

Summary:
E_tot	-2.7608	eV per atom
volume	25.25	Å³ per atom
space group	Amm2 (38)
crystal system	orthorhombic

=====

(7)
First-principles (PBE) data for crystalline KErAl at its relaxed geometry, as listed in OQMD via LeMat-Bulk.

The structure in POSCAR format:
```
KErAl
1.0
0.000 3.737 3.737
3.737 0.000 3.737
3.737 3.737 0.000
K Er Al
1 1 1
Direct
0.750 0.750 0.750
0.000 0.000 0.000
0.250 0.250 0.250
```

Summary:
volume	34.79	Å³ per atom
space group	F-43m (216)
crystal system	cubic
energy relative to the lowest polymorph listed for this composition	0.0000	eV/atom

=====

(8)
First-principles (PBE) data for crystalline H22PdC10N2Cl2 at its relaxed geometry, as listed in OQMD via LeMat-Bulk.

The structure in POSCAR format:
```
H22PdC10N2Cl2
1.0
4.266 -5.269 0.000
4.266 5.269 0.000
-3.705 0.000 7.043
C H Cl N Pd
10 22 2 2 1
Direct
0.679 0.702 0.679
0.936 0.003 0.678
0.845 0.392 0.206
0.937 0.244 0.087
0.997 0.064 0.322
0.516 0.300 0.915
0.298 0.321 0.321
0.756 0.063 0.913
0.608 0.155 0.794
0.700 0.484 0.085
0.475 0.021 0.671
0.273 0.448 0.428
0.747 0.298 0.262
0.800 0.587 0.036
0.552 0.727 0.572
0.413 0.200 0.964
0.410 0.366 0.830
0.408 0.247 0.391
0.999 0.201 0.440
0.634 0.590 0.170
0.702 0.253 0.738
0.799 0.001 0.560
0.022 0.898 0.622
0.979 0.525 0.329
0.753 0.592 0.609
0.830 0.953 0.242
0.655 0.958 0.961
0.047 0.170 0.758
0.365 0.394 0.236
0.102 0.978 0.378
0.042 0.345 0.039
0.606 0.635 0.764
0.397 0.853 0.233
0.147 0.603 0.767
0.850 0.915 0.802
0.085 0.150 0.198
0.115 0.885 0.000
```

Summary:
E_tot	-5.3771	eV per atom
volume	8.56	Å³ per atom
space group	C2 (5)
crystal system	monoclinic

=====

(9)
First-principles (PBE) data for crystalline Hf2Cd3Hg at its relaxed geometry, as listed in OQMD via LeMat-Bulk.

The structure in POSCAR format:
```
Hf2Cd3Hg
1.0
3.355 0.000 0.000
0.000 3.355 0.000
0.000 0.000 10.955
Hg Cd Hf
1 3 2
Direct
0.000 0.000 0.167
0.500 0.500 0.670
0.500 0.500 0.331
0.000 0.000 0.831
0.000 0.000 0.500
0.500 0.500 0.002
```

Summary:
E_tot	-3.7418	eV per atom
volume	20.55	Å³ per atom
space group	P4mm (99)
crystal system	tetragonal

=====

(10)
First-principles (PBE) data for crystalline SmBPO at its relaxed geometry, as listed in OQMD via LeMat-Bulk.

The structure in POSCAR format:
```
SmBPO
1.0
3.940 0.000 0.000
0.000 3.940 0.000
0.000 0.000 7.284
P O B Sm
2 2 2 2
Direct
0.500 0.000 0.403
0.000 0.500 0.597
0.500 0.500 0.000
0.000 0.000 0.000
0.000 0.000 0.500
0.500 0.500 0.500
0.500 0.000 0.838
0.000 0.500 0.162
```

Summary:
volume	14.13	Å³ per atom
space group	P4/nmm (129)
crystal system	tetragonal
energy relative to the lowest polymorph listed for this composition	0.0000	eV/atom

=====

(11)
First-principles (PBE) data for crystalline Zr at its relaxed geometry, as listed in OQMD via LeMat-Bulk.

The structure in POSCAR format:
```
Zr
1.0
2.180 2.232 -0.482
1.814 -1.288 2.241
-0.977 -1.814 -2.476
Zr
1
Direct
0.000 0.000 0.000
```

Summary:
volume	23.14	Å³ per atom
space group	I4/mmm (139)
crystal system	tetragonal
energy relative to the lowest polymorph listed for this composition	0.0423	eV/atom

=====

(12)
First-principles (PBE) data for crystalline DyYGa2 at its relaxed geometry, as listed in OQMD via LeMat-Bulk.

The structure in POSCAR format:
```
DyYGa2
1.0
5.011 0.000 0.000
0.000 3.272 5.689
0.000 -3.272 5.689
Y Dy Ga
2 2 4
Direct
0.500 0.302 0.843
0.500 0.843 0.302
0.000 0.679 0.679
0.500 0.334 0.334
0.000 0.166 0.166
0.500 0.832 0.832
0.000 0.673 0.172
0.000 0.172 0.673
```

Summary:
E_tot	-4.6079	eV per atom
volume	23.32	Å³ per atom
space group	Amm2 (38)
crystal system	orthorhombic